No. 1
{
  "formula": "TiHgGeO5",
  "functional": "PBE",
  "state": "relaxed",
  "raw_formation_energy_kcal_per_mol_atoms": -40.9,
  "spacegroup": "No. 15",
  "cell": [[3.252, -4.625, 0.000], [3.252, 4.625, 0.000], [-2.890, 0.000, 6.719]],
  "species": ["Ti", "Ti", "Hg", "Hg", "Ge", "Ge", "O", "O", "O", "O", "O", "O", "O", "O", "O", "O"],
  "fractional_positions": [[0.000, 0.000, 0.000], [0.000, 0.000, 0.500], [0.325, 0.675, 0.750], [0.675, 0.325, 0.250], [0.311, 0.689, 0.250], [0.689, 0.311, 0.750], [0.062, 0.938, 0.750], [0.072, 0.676, 0.377], [0.231, 0.382, 0.070], [0.324, 0.928, 0.123], [0.382, 0.231, 0.570], [0.618, 0.769, 0.430], [0.676, 0.072, 0.877], [0.769, 0.618, 0.930], [0.928, 0.324, 0.623], [0.938, 0.062, 0.250]]
}

***

No. 2
{
  "formula": "Ho5Ru2Pb2",
  "functional": "PBE",
  "state": "relaxed",
  "ef_mev_per_atom": -409,
  "spacegroup": "No. 64",
  "cell": [[8.147, -3.868, 0.000], [8.147, 3.868, 0.000], [0.000, 0.000, 7.424]],
  "species": ["Ho", "Ho", "Ho", "Ho", "Ho", "Ho", "Ho", "Ho", "Ho", "Ho", "Ru", "Ru", "Ru", "Ru", "Pb", "Pb", "Pb", "Pb"],
  "fractional_positions": [[0.000, 0.000, 0.000], [0.056, 0.713, 0.665], [0.213, 0.556, 0.165], [0.287, 0.944, 0.665], [0.444, 0.787, 0.165], [0.500, 0.500, 0.500], [0.556, 0.213, 0.835], [0.713, 0.056, 0.335], [0.787, 0.444, 0.835], [0.944, 0.287, 0.335], [0.132, 0.868, 0.371], [0.368, 0.632, 0.871], [0.632, 0.368, 0.129], [0.868, 0.132, 0.629], [0.222, 0.222, 0.000], [0.278, 0.278, 0.500], [0.722, 0.722, 0.500], [0.778, 0.778, 0.000]]
}

***

No. 3
{
  "formula": "NbCr",
  "functional": "PBE",
  "state": "relaxed",
  "ef_mev_per_atom": 72,
  "spacegroup": "No. 74",
  "cell": [[-1.545, 2.177, 4.457], [1.545, -2.177, 4.457], [1.545, 2.177, -4.457]],
  "species": ["Nb", "Nb", "Cr", "Cr"],
  "fractional_positions": [[0.368, 0.118, 0.250], [0.632, 0.882, 0.750], [0.116, 0.366, 0.750], [0.884, 0.634, 0.250]]
}

***

No. 4
{
  "formula": "PmSm3In",
  "functional": "PBE",
  "state": "relaxed",
  "ef_mev_per_atom": -187,
  "relative_energy_kj_per_mol_atoms": 0.0,
  "spacegroup": "No. 63",
  "cell": [[2.456, -12.843, 0.000], [2.456, 12.843, 0.000], [0.000, 0.000, 4.905]],
  "species": ["Pm", "Pm", "Sm", "Sm", "Sm", "Sm", "Sm", "Sm", "In", "In"],
  "fractional_positions": [[0.150, 0.850, 0.750], [0.850, 0.150, 0.250], [0.052, 0.948, 0.250], [0.249, 0.751, 0.250], [0.448, 0.552, 0.250], [0.552, 0.448, 0.750], [0.751, 0.249, 0.750], [0.948, 0.052, 0.750], [0.347, 0.653, 0.750], [0.653, 0.347, 0.250]]
}

***

No. 5
{
  "formula": "Ba2CaZn",
  "functional": "PBE",
  "state": "relaxed",
  "ef_mev_per_atom": -81,
  "spacegroup": "No. 123",
  "cell": [[4.151, 0.000, 0.000], [0.000, 4.151, 0.000], [0.000, 0.000, 10.044]],
  "species": ["Ba", "Ba", "Ca", "Zn"],
  "fractional_positions": [[0.000, 0.000, 0.194], [0.000, 0.000, 0.806], [0.500, 0.500, 0.500], [0.500, 0.500, 0.000]]
}

***

No. 6
{
  "formula": "Ru2PtW",
  "functional": "PBE",
  "state": "relaxed",
  "ef_mev_per_atom": 1131,
  "relative_energy_kj_per_mol_atoms": 126.0,
  "spacegroup": "No. 122",
  "cell": [[-2.866, 2.866, 5.373], [2.866, -2.866, 5.373], [2.866, 2.866, -5.373]],
  "species": ["Ru", "Ru", "Ru", "Ru", "Pt", "Pt", "W", "W"],
  "fractional_positions": [[0.120, 0.625, 0.995], [0.375, 0.370, 0.495], [0.630, 0.125, 0.005], [0.875, 0.880, 0.505], [0.250, 0.750, 0.500], [0.500, 0.500, 0.000], [0.000, 0.000, 0.000], [0.750, 0.250, 0.500]]
}

***

No. 7
{
  "formula": "Sr10P6BrClO24",
  "functional": "PBE",
  "state": "relaxed",
  "raw_formation_energy_kcal_per_mol_atoms": -66.6,
  "spacegroup": "No. 147",
  "cell": [[10.080, 0.000, 0.000], [-5.040, 8.730, 0.000], [0.000, 0.000, 7.249]],
  "species": ["Sr", "Sr", "Sr", "Sr", "Sr", "Sr", "Sr", "Sr", "Sr", "Sr", "P", "P", "P", "P", "P", "P", "Br", "Cl", "O", "O", "O", "O", "O", "O", "O", "O", "O", "O", "O", "O", "O", "O", "O", "O", "O", "O", "O", "O", "O", "O", "O", "O"],
  "fractional_positions": [[0.003, 0.259, 0.246], [0.256, 0.997, 0.246], [0.259, 0.256, 0.754], [0.333, 0.667, 0.003], [0.333, 0.667, 0.499], [0.667, 0.333, 0.501], [0.667, 0.333, 0.997], [0.741, 0.744, 0.246], [0.744, 0.003, 0.754], [0.997, 0.741, 0.754], [0.035, 0.408, 0.749], [0.373, 0.965, 0.749], [0.408, 0.373, 0.251], [0.592, 0.627, 0.749], [0.627, 0.035, 0.251], [0.965, 0.592, 0.251], [0.000, 0.000, 0.500], [0.000, 0.000, 0.000], [0.088, 0.354, 0.921], [0.089, 0.359, 0.573], [0.122, 0.587, 0.753], [0.142, 0.659, 0.250], [0.266, 0.912, 0.921], [0.271, 0.911, 0.573], [0.341, 0.483, 0.250], [0.354, 0.266, 0.079], [0.359, 0.271, 0.427], [0.413, 0.535, 0.753], [0.465, 0.878, 0.753], [0.483, 0.142, 0.750], [0.517, 0.858, 0.250], [0.535, 0.122, 0.247], [0.587, 0.465, 0.247], [0.641, 0.729, 0.573], [0.646, 0.734, 0.921], [0.659, 0.517, 0.750], [0.729, 0.089, 0.427], [0.734, 0.088, 0.079], [0.858, 0.341, 0.750], [0.878, 0.413, 0.247], [0.911, 0.641, 0.427], [0.912, 0.646, 0.079]]
}

***

No. 8
{
  "formula": "PdRu3I",
  "functional": "PBE",
  "state": "relaxed",
  "raw_formation_energy_kcal_per_mol_atoms": 43.7,
  "relative_energy_kj_per_mol_atoms": 0.0,
  "spacegroup": "No. 221",
  "cell": [[4.781, 0.000, 0.000], [0.000, 4.781, 0.000], [0.000, 0.000, 4.781]],
  "species": ["Pd", "Ru", "Ru", "Ru", "I"],
  "fractional_positions": [[0.000, 0.000, 0.000], [0.000, 0.500, 0.500], [0.500, 0.000, 0.500], [0.500, 0.500, 0.000], [0.500, 0.500, 0.500]]
}